#one
This record from Alexandria describes a relaxed ZnGeH2 crystal. The functional is PBE.

Cell lengths 5.5216, 5.5216, 5.5216 Å; angles 90.00, 90.00, 90.00 degrees
Last column: nearest neighbours and their distance in Å.
Positions (direct):
Zn1 0.0000 0.0000 0.0000  8 H 2.39
Zn2 0.0000 0.5000 0.5000  8 H 2.39
Zn3 0.5000 0.0000 0.5000  8 H 2.39
Zn4 0.5000 0.5000 0.0000  8 H 2.39
Ge1 0.0000 0.0000 0.5000  8 H 2.39
Ge2 0.0000 0.5000 0.0000  8 H 2.39
Ge3 0.5000 0.0000 0.0000  8 H 2.39
Ge4 0.5000 0.5000 0.5000  8 H 2.39
H1 0.2500 0.2500 0.2500  4 Ge 2.39, 4 Zn 2.39
H2 0.2500 0.2500 0.7500  4 Ge 2.39, 4 Zn 2.39
H3 0.2500 0.7500 0.2500  4 Ge 2.39, 4 Zn 2.39
H4 0.2500 0.7500 0.7500  4 Ge 2.39, 4 Zn 2.39
H5 0.7500 0.2500 0.2500  4 Ge 2.39, 4 Zn 2.39
H6 0.7500 0.2500 0.7500  4 Ge 2.39, 4 Zn 2.39
H7 0.7500 0.7500 0.2500  4 Ge 2.39, 4 Zn 2.39
H8 0.7500 0.7500 0.7500  4 Ge 2.39, 4 Zn 2.39

=====

#two
This record from Alexandria describes a relaxed ZnGeH2 crystal. The functional is PBE.

Cell lengths 4.4033, 4.4033, 9.7508 Å; angles 90.00, 90.00, 90.00 degrees
Last column: nearest neighbours and their distance in Å.
Positions (direct):
Zn1 0.0000 0.0000 0.0000  4 H 1.76
Zn2 0.0000 0.5000 0.2500  4 H 1.76
Zn3 0.5000 0.0000 0.7500  4 H 1.76
Zn4 0.5000 0.5000 0.5000  4 H 1.76
Ge1 0.0000 0.0000 0.5000  4 H 2.27
Ge2 0.0000 0.5000 0.7500  4 H 2.27
Ge3 0.5000 0.0000 0.2500  4 H 2.27
Ge4 0.5000 0.5000 0.0000  4 H 2.27
H1 0.1445 0.2500 0.1250  2 Zn 1.76
H2 0.2500 0.6445 0.3750  2 Zn 1.76
H3 0.2500 0.8555 0.8750  2 Zn 1.76
H4 0.3555 0.2500 0.6250  2 Zn 1.76
H5 0.6445 0.7500 0.6250  2 Zn 1.76
H6 0.7500 0.1445 0.8750  2 Zn 1.76
H7 0.7500 0.3555 0.3750  2 Zn 1.76
H8 0.8555 0.7500 0.1250  2 Zn 1.76

=====

Quick look at relative energies in meV/atom: #one 174; #two 0.

=====

#one
This record from Alexandria describes a relaxed Zr2GeH2 crystal. The functional is PBE.

Cell lengths 3.4345, 3.4345, 11.2637 Å; angles 90.00, 90.00, 90.00 degrees
Last column: nearest neighbours and their distance in Å.
Positions (direct):
Zr1 0.0000 0.0000 0.1346  4 H 2.15
Zr2 0.0000 0.0000 0.8654  4 H 2.15
Zr3 0.5000 0.5000 0.3654  4 H 2.15
Zr4 0.5000 0.5000 0.6346  4 H 2.15
Ge1 0.0000 0.0000 0.5000  8 Zr 2.86
Ge2 0.5000 0.5000 0.0000  8 Zr 2.86
H1 0.0000 0.5000 0.2500  4 Zr 2.15
H2 0.0000 0.5000 0.7500  4 Zr 2.15
H3 0.5000 0.0000 0.2500  4 Zr 2.15
H4 0.5000 0.0000 0.7500  4 Zr 2.15

=====

#two
This record from Alexandria describes a relaxed Zr2GeH2 crystal. The functional is PBE.

Cell lengths 6.6228, 5.7128, 5.5230 Å; angles 72.21, 55.22, 52.57 degrees
Last column: nearest neighbours and their distance in Å.
Positions (direct):
Zr1 0.0842 0.6658 0.0842  4 H 2.07-2.20
Zr2 0.3342 0.9158 0.3342  4 H 2.07-2.20
Zr3 0.6658 0.0842 0.6658  4 H 2.07-2.20
Zr4 0.9158 0.3342 0.9158  4 H 2.07-2.20
Ge1 0.3750 0.3750 0.3750  6 Zr 2.66-2.88
Ge2 0.6250 0.6250 0.6250  6 Zr 2.66-2.88
H1 0.0116 0.0116 0.2384  4 Zr 2.07-2.20, 1 H 2.17
H2 0.2384 0.2384 0.0116  4 Zr 2.07-2.20, 1 H 2.17
H3 0.7616 0.7616 0.9884  4 Zr 2.07-2.20, 1 H 2.17
H4 0.9884 0.9884 0.7616  4 Zr 2.07-2.20, 1 H 2.17

=====

#three
This record from Alexandria describes a relaxed Zr2GeH2 crystal. The functional is PBE.

Cell lengths 7.0641, 7.0641, 2.9558 Å; angles 90.00, 90.00, 90.00 degrees
Last column: nearest neighbours and their distance in Å.
Positions (direct):
Zr1 0.1466 0.3534 0.0000  4 H 2.31
Zr2 0.3534 0.8534 0.0000  4 H 2.31
Zr3 0.6466 0.1466 0.0000  4 H 2.31
Zr4 0.8534 0.6466 0.0000  4 H 2.31
Ge1 0.0000 0.0000 0.0000  4 Zr 2.70, 2 Ge 2.96
Ge2 0.5000 0.5000 0.0000  4 Zr 2.70, 2 Ge 2.96
H1 0.1003 0.6003 0.5000  1 H 2.00
H2 0.3997 0.1003 0.5000  1 H 2.00
H3 0.6003 0.8997 0.5000  1 H 2.00
H4 0.8997 0.3997 0.5000  1 H 2.00

=====

Quick look at relative energies in meV/atom: #one 0; #two 32; #three 559.

=====

#one
This record from Alexandria describes a relaxed ZrGeH3 crystal. The functional is PBE.

Cell lengths 3.8240, 3.8240, 3.8240 Å; angles 90.00, 90.00, 90.00 degrees
Last column: nearest neighbours and their distance in Å.
Positions (direct):
Zr1 0.0000 0.0000 0.0000  6 H 1.91
Ge1 0.5000 0.5000 0.5000  12 H 2.70
H1 0.0000 0.0000 0.5000  2 Zr 1.91
H2 0.0000 0.5000 0.0000  2 Zr 1.91
H3 0.5000 0.0000 0.0000  2 Zr 1.91

=====

#two
This record from Alexandria describes a relaxed ZrGeH3 crystal. The functional is PBE.

Cell lengths 3.6618, 3.6618, 3.6618 Å; angles 90.00, 90.00, 90.00 degrees
Last column: nearest neighbours and their distance in Å.
Positions (direct):
Zr1 0.0000 0.0000 0.0000  12 H 2.59
Ge1 0.5000 0.5000 0.5000  6 H 1.83
H1 0.0000 0.5000 0.5000  2 Ge 1.83
H2 0.5000 0.0000 0.5000  2 Ge 1.83
H3 0.5000 0.5000 0.0000  2 Ge 1.83

=====

Quick look at relative energies in meV/atom: #one 0; #two 363.

=====

#one
This record from Alexandria describes a relaxed Hf3Ge crystal. The functional is PBE.

Cell lengths 3.1779, 9.7669, 5.2746 Å; angles 90.00, 90.00, 90.00 degrees
Last column: nearest neighbours and their distance in Å.
Positions (direct):
Hf1 0.0000 0.0000 0.0000  4 Ge 2.92-3.24, 8 Hf 3.01-3.18
Hf2 0.0000 0.2354 0.3681  3 Ge 2.93-3.12, 9 Hf 3.01-3.18
Hf3 0.0000 0.7646 0.3681  3 Ge 2.93-3.12, 9 Hf 3.01-3.18
Hf4 0.5000 0.2646 0.8681  3 Ge 2.93-3.12, 9 Hf 3.01-3.18
Hf5 0.5000 0.5000 0.5000  4 Ge 2.92-3.24, 8 Hf 3.01-3.18
Hf6 0.5000 0.7354 0.8681  3 Ge 2.93-3.12, 9 Hf 3.01-3.18
Ge1 0.0000 0.5000 0.0361  10 Hf 2.92-3.24, 2 Ge 3.18
Ge2 0.5000 0.0000 0.5361  10 Hf 2.92-3.24, 2 Ge 3.18

=====

#two
This record from Alexandria describes a relaxed Hf3Ge crystal. The functional is PBE.

Cell lengths 10.9806, 10.9806, 5.4247 Å; angles 90.00, 90.00, 90.00 degrees
Last column: nearest neighbours and their distance in Å.
Positions (direct):
Hf1 0.0338 0.9313 0.2449  3 Ge 2.76-2.91, 1 Hf 3.06
Hf2 0.0687 0.5338 0.7449  3 Ge 2.76-2.91, 1 Hf 3.06
Hf3 0.1093 0.2771 0.0289  4 Ge 2.77-2.84
Hf4 0.1436 0.8324 0.7238  2 Ge 2.78-2.86, 2 Hf 2.96-3.06
Hf5 0.1676 0.6436 0.2238  2 Ge 2.78-2.86, 2 Hf 2.96-3.06
Hf6 0.2229 0.1093 0.4711  4 Ge 2.77-2.84
Hf7 0.2771 0.3907 0.4711  4 Ge 2.77-2.84
Hf8 0.3324 0.8564 0.2238  2 Ge 2.78-2.86, 2 Hf 2.96-3.06
Hf9 0.3564 0.6676 0.7238  2 Ge 2.78-2.86, 2 Hf 2.96-3.06
Hf10 0.3907 0.2229 0.0289  4 Ge 2.77-2.84
Hf11 0.4313 0.9662 0.7449  3 Ge 2.76-2.91, 1 Hf 3.06
Hf12 0.4662 0.5687 0.2449  3 Ge 2.76-2.91, 1 Hf 3.06
Hf13 0.5338 0.4313 0.7551  3 Ge 2.76-2.91, 1 Hf 3.06
Hf14 0.5687 0.0338 0.2551  3 Ge 2.76-2.91, 1 Hf 3.06
Hf15 0.6093 0.7771 0.9711  4 Ge 2.77-2.84
Hf16 0.6436 0.3324 0.2762  2 Ge 2.78-2.86, 2 Hf 2.96-3.06
Hf17 0.6676 0.1436 0.7762  2 Ge 2.78-2.86, 2 Hf 2.96-3.06
Hf18 0.7229 0.6093 0.5289  4 Ge 2.77-2.84
Hf19 0.7771 0.8907 0.5289  4 Ge 2.77-2.84
Hf20 0.8324 0.3564 0.7762  2 Ge 2.78-2.86, 2 Hf 2.96-3.06
Hf21 0.8564 0.1676 0.2762  2 Ge 2.78-2.86, 2 Hf 2.96-3.06
Hf22 0.8907 0.7229 0.9711  4 Ge 2.77-2.84
Hf23 0.9313 0.4662 0.2551  3 Ge 2.76-2.91, 1 Hf 3.06
Hf24 0.9662 0.0687 0.7551  3 Ge 2.76-2.91, 1 Hf 3.06
Ge1 0.0463 0.2909 0.5356  9 Hf 2.76-2.91
Ge2 0.2091 0.0463 0.9644  9 Hf 2.76-2.91
Ge3 0.2909 0.4537 0.9644  9 Hf 2.76-2.91
Ge4 0.4537 0.2091 0.5356  9 Hf 2.76-2.91
Ge5 0.5463 0.7909 0.4644  9 Hf 2.76-2.91
Ge6 0.7091 0.5463 0.0356  9 Hf 2.76-2.91
Ge7 0.7909 0.9537 0.0356  9 Hf 2.76-2.91
Ge8 0.9537 0.7091 0.4644  9 Hf 2.76-2.91

=====

Quick look at relative energies in meV/atom: #one 259; #two 0.

=====

#one
This record from Alexandria describes a relaxed Hf3Ge crystal. The functional is PBE.

Cell lengths 4.3028, 4.3028, 4.3028 Å; angles 90.00, 90.00, 90.00 degrees
Last column: nearest neighbours and their distance in Å.
Positions (direct):
Hf1 0.0000 0.0000 0.5000  4 Ge 3.04, 8 Hf 3.04
Hf2 0.0000 0.5000 0.0000  4 Ge 3.04, 8 Hf 3.04
Hf3 0.5000 0.0000 0.0000  4 Ge 3.04, 8 Hf 3.04
Ge1 0.5000 0.5000 0.5000  12 Hf 3.04

=====

#two
This record from Alexandria describes a relaxed Hf3Ge crystal. The functional is PBE.

Cell lengths 8.2283, 8.2283, 8.2283 Å; angles 96.29, 96.29, 141.35 degrees
Last column: nearest neighbours and their distance in Å.
Positions (direct):
Hf1 0.0664 0.0329 0.6024  3 Ge 2.74-2.97, 1 Hf 3.03
Hf2 0.1204 0.4511 0.6125  4 Ge 2.78-2.85, 1 Hf 3.10
Hf3 0.1718 0.3629 0.9760  2 Ge 2.79-2.96, 2 Hf 2.99-3.03
Hf4 0.3869 0.1957 0.0240  2 Ge 2.79-2.96, 2 Hf 2.99-3.03
Hf5 0.4305 0.4640 0.3976  3 Ge 2.74-2.97, 1 Hf 3.03
Hf6 0.4922 0.8796 0.3308  4 Ge 2.78-2.85, 1 Hf 3.10
Hf7 0.5360 0.9336 0.9665  3 Ge 2.74-2.97, 1 Hf 3.03
Hf8 0.5489 0.1614 0.6692  4 Ge 2.78-2.85, 1 Hf 3.10
Hf9 0.6371 0.6131 0.8088  2 Ge 2.79-2.96, 2 Hf 2.99-3.03
Hf10 0.8043 0.8282 0.1912  2 Ge 2.79-2.96, 2 Hf 2.99-3.03
Hf11 0.8386 0.5078 0.3875  4 Ge 2.78-2.85, 1 Hf 3.10
Hf12 0.9671 0.5695 0.0335  3 Ge 2.74-2.97, 1 Hf 3.03
Ge1 0.0660 0.7332 0.7447  9 Hf 2.74-2.97
Ge2 0.2668 0.0116 0.3329  9 Hf 2.74-2.97
Ge3 0.6787 0.9340 0.6671  9 Hf 2.74-2.97
Ge4 0.9884 0.3213 0.2553  9 Hf 2.74-2.97

=====

#three
This record from Alexandria describes a relaxed Hf3Ge crystal. The functional is PBE.

Cell lengths 4.1853, 4.1853, 9.2704 Å; angles 90.00, 90.00, 90.00 degrees
Last column: nearest neighbours and their distance in Å.
Positions (direct):
Hf1 0.0000 0.0000 0.0000  4 Ge 2.96, 8 Hf 3.12
Hf2 0.0000 0.5000 0.2500  8 Hf 2.96-3.12, 4 Ge 3.12
Hf3 0.0000 0.5000 0.7500  8 Hf 2.96-3.12, 4 Ge 3.12
Hf4 0.5000 0.0000 0.2500  8 Hf 2.96-3.12, 4 Ge 3.12
Hf5 0.5000 0.0000 0.7500  8 Hf 2.96-3.12, 4 Ge 3.12
Hf6 0.5000 0.5000 0.5000  4 Ge 2.96, 8 Hf 3.12
Ge1 0.0000 0.0000 0.5000  12 Hf 2.96-3.12
Ge2 0.5000 0.5000 0.0000  12 Hf 2.96-3.12

=====

Quick look at relative energies in meV/atom: #one 208; #two 0; #three 218.

=====

#one
This record from Alexandria describes a relaxed HfHg3Ge crystal. The functional is PBE.

Cell lengths 5.1186, 5.1186, 5.1186 Å; angles 90.00, 90.00, 90.00 degrees
Last column: nearest neighbours and their distance in Å.
Positions (direct):
Hf1 0.0000 0.0000 0.0000  12 Hg 3.62
Hg1 0.0000 0.5000 0.5000  2 Ge 2.56
Hg2 0.5000 0.0000 0.5000  2 Ge 2.56
Hg3 0.5000 0.5000 0.0000  2 Ge 2.56
Ge1 0.5000 0.5000 0.5000  6 Hg 2.56

=====

#two
This record from Alexandria describes a relaxed HfHg3Ge crystal. The functional is PBE.

Cell lengths 5.4766, 5.4766, 5.4766 Å; angles 90.00, 90.00, 90.00 degrees
Last column: nearest neighbours and their distance in Å.
Positions (direct):
Hf1 0.0000 0.0000 0.0000  6 Hg 2.74
Hg1 0.0000 0.0000 0.5000  2 Hf 2.74
Hg2 0.0000 0.5000 0.0000  2 Hf 2.74
Hg3 0.5000 0.0000 0.0000  2 Hf 2.74
Ge1 0.5000 0.5000 0.5000  12 Hg 3.87

=====

Quick look at relative energies in meV/atom: #one 0; #two 15.

=====

#one
This record from Alexandria describes a relaxed HfSnHgGe2 crystal. The functional is PBE.

Cell lengths 5.1822, 5.1822, 5.5193 Å; angles 90.00, 90.00, 90.00 degrees
Last column: nearest neighbours and their distance in Å.
Positions (direct):
Hf1 0.0000 0.0000 0.0000  2 Sn 2.76
Sn1 0.0000 0.0000 0.5000  4 Ge 2.59, 2 Hf 2.76
Hg1 0.5000 0.5000 0.0000  4 Hf 3.66, 8 Ge 3.79
Ge1 0.0000 0.5000 0.5000  2 Sn 2.59
Ge2 0.5000 0.0000 0.5000  2 Sn 2.59

=====

#two
This record from Alexandria describes a relaxed HfSnHgGe2 crystal. The functional is PBE.

Cell lengths 5.1619, 5.1619, 5.4982 Å; angles 90.00, 90.00, 90.00 degrees
Last column: nearest neighbours and their distance in Å.
Positions (direct):
Hf1 0.0000 0.0000 0.0000  4 Ge 2.58, 2 Hg 2.75
Sn1 0.5000 0.5000 0.5000  4 Hg 3.65, 8 Ge 3.77
Hg1 0.0000 0.0000 0.5000  2 Hf 2.75
Ge1 0.0000 0.5000 0.0000  2 Hf 2.58
Ge2 0.5000 0.0000 0.0000  2 Hf 2.58

=====

Quick look at relative energies in meV/atom: #one 511; #two 0.

=====

#one
This record from Alexandria describes a relaxed HfGeI2 crystal. The functional is PBE.

Cell lengths 7.2864, 7.2864, 7.2864 Å; angles 90.00, 90.00, 90.00 degrees
Last column: nearest neighbours and their distance in Å.
Positions (direct):
Hf1 0.0000 0.0000 0.0000  8 I 3.16
Hf2 0.0000 0.5000 0.5000  8 I 3.16
Hf3 0.5000 0.0000 0.5000  8 I 3.16
Hf4 0.5000 0.5000 0.0000  8 I 3.16
Ge1 0.0000 0.0000 0.5000  8 I 3.16
Ge2 0.0000 0.5000 0.0000  8 I 3.16
Ge3 0.5000 0.0000 0.0000  8 I 3.16
Ge4 0.5000 0.5000 0.5000  8 I 3.16
I1 0.2500 0.2500 0.2500  4 Ge 3.16, 4 Hf 3.16
I2 0.2500 0.2500 0.7500  4 Ge 3.16, 4 Hf 3.16
I3 0.2500 0.7500 0.2500  4 Ge 3.16, 4 Hf 3.16
I4 0.2500 0.7500 0.7500  4 Ge 3.16, 4 Hf 3.16
I5 0.7500 0.2500 0.2500  4 Ge 3.16, 4 Hf 3.16
I6 0.7500 0.2500 0.7500  4 Ge 3.16, 4 Hf 3.16
I7 0.7500 0.7500 0.2500  4 Ge 3.16, 4 Hf 3.16
I8 0.7500 0.7500 0.7500  4 Ge 3.16, 4 Hf 3.16

=====

#two
This record from Alexandria describes a relaxed HfGeI2 crystal. The functional is PBE.

Cell lengths 10.4864, 10.4864, 5.3157 Å; angles 90.00, 90.00, 90.00 degrees
Last column: nearest neighbours and their distance in Å.
Positions (direct):
Hf1 0.0000 0.0000 0.0000  2 Ge 2.66, 4 I 2.89
Hf2 0.0000 0.5000 0.2500  2 Ge 2.66, 4 I 2.89
Hf3 0.5000 0.0000 0.7500  2 Ge 2.66, 4 I 2.89
Hf4 0.5000 0.5000 0.5000  2 Ge 2.66, 4 I 2.89
Ge1 0.0000 0.0000 0.5000  2 Hf 2.66
Ge2 0.0000 0.5000 0.7500  2 Hf 2.66
Ge3 0.5000 0.0000 0.2500  2 Hf 2.66
Ge4 0.5000 0.5000 0.0000  2 Hf 2.66
I1 0.0972 0.2500 0.1250  2 Hf 2.89
I2 0.2500 0.5972 0.3750  2 Hf 2.89
I3 0.2500 0.9028 0.8750  2 Hf 2.89
I4 0.4028 0.2500 0.6250  2 Hf 2.89
I5 0.5972 0.7500 0.6250  2 Hf 2.89
I6 0.7500 0.0972 0.8750  2 Hf 2.89
I7 0.7500 0.4028 0.3750  2 Hf 2.89
I8 0.9028 0.7500 0.1250  2 Hf 2.89

=====

Quick look at relative energies in meV/atom: #one 292; #two 0.